Compound: NdHoAgRu
Source: the Alexandria database
Functional: PBE
Structure: relaxed

Geometry as POSCAR:
```
NdHoAgRu
1.0
7.1187 0.0000 0.0000
0.0000 7.1187 0.0000
0.0000 0.0000 7.1187
Nd Ho Ag Ru
4 4 4 4
Cartesian
0.0000 0.0000 0.0000
0.0000 3.5593 3.5593
3.5593 0.0000 3.5593
3.5593 3.5593 0.0000
0.0000 0.0000 3.5593
0.0000 3.5593 0.0000
3.5593 0.0000 0.0000
3.5593 3.5593 3.5593
1.7797 1.7797 1.7797
1.7797 5.3390 5.3390
5.3390 1.7797 5.3390
5.3390 5.3390 1.7797
1.7797 1.7797 5.3390
1.7797 5.3390 1.7797
5.3390 1.7797 1.7797
5.3390 5.3390 5.3390
```

Results
Offset from the most stable computed form, eV/f.u.: 0.28
Total energy, eV/atom: -5.633
Magnetic moment, μB/atom: 0.000
Energy relative to the elements, eV/f.u.: -1.061